Below is a relaxed Cd2ReSi crystal, with properties calculated at the GGA-PBE level. Values from VASP.

crystal system	tetragonal
ΔE_f (raw)	0.887	eV/atom
total magnetization	1.946	μB/cell
energy	-32.3	eV for the cell shown

```
&SYSTEM
  ibrav = 0, nat = 8, ntyp = 3
/
ATOMIC_SPECIES
Cd 112.41 Cd.upf
Re 186.21 Re.upf
Si 28.09 Si.upf
CELL_PARAMETERS angstrom
7.751 0.000 0.000
0.000 7.751 0.000
3.876 3.876 2.551
ATOMIC_POSITIONS crystal
Cd 0.607 0.125 0.250
Re 0.750 0.250 0.500
Cd 0.375 0.393 0.750
Cd 0.875 0.857 0.750
Si 0.500 0.500 0.000
Si 0.250 0.750 0.500
Re 0.000 0.000 0.000
Cd 0.143 0.625 0.250
```


Below is a relaxed Tl3TeSe crystal, with properties calculated at the GGA-PBE level. Values from VASP.

crystal system	monoclinic
ΔE to the lowest computed polymorph	0.00	kcal/mol of atoms
ΔE_f (raw)	-0.248	eV/atom
total magnetization	0.000	μB/cell
energy	-29.9	eV for the cell shown

```
&SYSTEM
  ibrav = 0, nat = 10, ntyp = 3
/
ATOMIC_SPECIES
Tl 204.38 Tl.upf
Se 78.96 Se.upf
Te 127.60 Te.upf
CELL_PARAMETERS angstrom
6.280 0.609 -1.463
-2.437 5.819 -1.467
-0.383 -0.647 9.113
ATOMIC_POSITIONS crystal
Tl 0.694 0.593 0.287
Tl 0.700 0.200 0.900
Se 0.250 0.250 0.000
Tl 0.300 0.800 0.100
Tl 0.093 0.194 0.286
Te 0.322 0.822 0.500
Se 0.750 0.750 0.000
Te 0.678 0.178 0.500
Tl 0.907 0.806 0.714
Tl 0.306 0.407 0.713
```


Below is a relaxed RbSbN crystal, with properties calculated at the GGA-PBE level. Values from VASP.

crystal system	triclinic
ΔE to the lowest computed polymorph	7.48	kcal/mol of atoms
ΔE_f (raw)	0.126	eV/atom
total magnetization	0.000	μB/cell
energy	-26.1	eV for the cell shown

```
&SYSTEM
  ibrav = 0, nat = 6, ntyp = 3
/
ATOMIC_SPECIES
Rb 85.47 Rb.upf
N 14.01 N.upf
Sb 121.76 Sb.upf
CELL_PARAMETERS angstrom
-6.080 1.946 0.417
-4.383 1.071 -4.348
-4.865 -5.090 0.789
ATOMIC_POSITIONS crystal
Rb 0.525 0.146 0.392
N 0.989 0.165 0.492
Rb 0.188 0.171 0.041
Sb 0.675 0.480 0.731
Sb 0.038 0.837 0.702
N 0.723 0.153 0.942
```


Which formula does entry 2 have?
Tl3TeSe